[1]
First-principles (PBE) data for crystalline TaCrAg at its relaxed geometry, as listed in the Alexandria database.

Results
As for the excess energy over the best structure of this formula in the dataset: 0.192 eV per atom. Its crystal system is trigonal. For the density of states at the Fermi level, the calculation gives 1.121 states/eV/atom. Its formation energy is 55.8 kJ per mole of atoms. The calculated volume is 48 Å³/cell. For the total energy, the calculation gives -22.6 eV for the cell shown.

Cell: 4.605 4.605 2.604 Å, 90.00 90.00 120.00°
Positions (direct):
Ta1 0.333 0.667 0.651
Cr1 0.667 0.333 0.301
Ag1 0.000 0.000 0.048

[2]
First-principles (PBE) data for crystalline TaCrAg at its relaxed geometry, as listed in the Alexandria database.

Results
As for the excess energy over the best structure of this formula in the dataset: 0.345 eV per atom. Its crystal system is orthorhombic. For the density of states at the Fermi level, the calculation gives 1.384 states/eV/atom. Its formation energy is 70.6 kJ per mole of atoms. The calculated volume is 104 Å³/cell. For the total energy, the calculation gives -44.3 eV for the cell shown.

Cell: 4.741 2.747 7.981 Å, 90.00 90.00 90.00°
Each line ends with the local moment (μB).
Positions (direct):
Ta1 0.500 0.500 0.567  -0.29
Ta2 0.000 0.000 0.067  -0.29
Ag1 0.000 0.500 0.385  0.02
Ag2 0.500 0.000 0.885  0.02
Cr1 0.500 0.500 0.198  2.76
Cr2 0.000 0.000 0.698  2.76

[3]
First-principles (PBE) data for crystalline TaCrAg at its relaxed geometry, as listed in the Alexandria database.

Results
As for the excess energy over the best structure of this formula in the dataset: 0.000 eV per atom. Its crystal system is orthorhombic. For the density of states at the Fermi level, the calculation gives 0.837 states/eV/atom. Its formation energy is 37.3 kJ per mole of atoms. The calculated volume is 48 Å³/cell. For the total energy, the calculation gives -23.2 eV for the cell shown.

Cell: 6.991 6.823 2.767 Å, 81.87 75.07 23.06°
Each line ends with the local moment (μB).
Positions (direct):
Ta1 0.678 0.678 0.322  -0.04
Ag1 0.995 0.995 0.005  0.01
Cr1 0.327 0.327 0.673  0.32

[4]
First-principles (PBE) data for crystalline TaCrAg at its relaxed geometry, as listed in the Alexandria database.

Results
As for the excess energy over the best structure of this formula in the dataset: 0.878 eV per atom. Its crystal system is cubic. For the density of states at the Fermi level, the calculation gives 1.513 states/eV/atom. Its formation energy is 121.9 kJ per mole of atoms. The calculated volume is 60 Å³/cell. For the total energy, the calculation gives -20.5 eV for the cell shown.

Cell: 4.388 4.388 4.388 Å, 60.00 60.00 60.00°
Each line ends with the local moment (μB).
Positions (direct):
Ta1 0.750 0.750 0.750  -0.35
Ag1 0.000 0.000 0.000  -0.01
Cr1 0.500 0.500 0.500  2.51

[5]
First-principles (PBE) data for crystalline TaCrAg3 at its relaxed geometry, as listed in the Alexandria database.

Results
As for the excess energy over the best structure of this formula in the dataset: 0.000 eV per atom. Its crystal system is cubic. For the density of states at the Fermi level, the calculation gives 2.210 states/eV/atom. Its formation energy is 179.0 kJ per mole of atoms. The calculated volume is 103 Å³/cell. For the total energy, the calculation gives -20.8 eV for the cell shown.

Cell: 4.681 4.681 4.681 Å, 90.00 90.00 90.00°
Positions (direct):
Ta1 0.500 0.500 0.500
Ag1 0.500 0.000 0.000
Ag2 0.000 0.000 0.500
Ag3 0.000 0.500 0.000
Cr1 0.000 0.000 0.000

[6]
First-principles (PBE) data for crystalline Ta3CrAg at its relaxed geometry, as listed in the Alexandria database.

Results
As for the excess energy over the best structure of this formula in the dataset: 0.000 eV per atom. Its crystal system is cubic. For the density of states at the Fermi level, the calculation gives 1.415 states/eV/atom. Its formation energy is 100.9 kJ per mole of atoms. The calculated volume is 98 Å³/cell. For the total energy, the calculation gives -42.8 eV for the cell shown.

Cell: 4.615 4.615 4.615 Å, 90.00 90.00 90.00°
Positions (direct):
Cr1 0.000 0.000 0.000
Ag1 0.500 0.500 0.500
Ta1 0.000 0.000 0.500
Ta2 0.500 0.000 0.000
Ta3 0.000 0.500 0.000

[7]
First-principles (PBE) data for crystalline TaCrAg at its relaxed geometry, as listed in the Alexandria database.

Results
As for the excess energy over the best structure of this formula in the dataset: 0.084 eV per atom. Its crystal system is monoclinic. For the density of states at the Fermi level, the calculation gives 0.836 states/eV/atom. Its formation energy is 45.3 kJ per mole of atoms. The calculated volume is 98 Å³/cell. For the total energy, the calculation gives -45.8 eV for the cell shown.

Cell: 2.775 2.968 12.053 Å, 90.00 99.12 90.00°
Positions (direct):
Cr1 0.749 0.500 0.987
Cr2 0.749 0.000 0.487
Ag1 0.352 0.000 0.151
Ag2 0.352 0.500 0.651
Ta1 0.984 0.500 0.340
Ta2 0.984 0.000 0.840

[8]
First-principles (PBE) data for crystalline TaCr4Ag at its relaxed geometry, as listed in the Alexandria database.

Results
Its crystal system is cubic. For the density of states at the Fermi level, the calculation gives 1.755 states/eV/atom. Its formation energy is 25.3 kJ per mole of atoms. The calculated volume is 82 Å³/cell. For the total energy, the calculation gives -51.6 eV for the cell shown.

Cell: 4.883 4.883 4.883 Å, 60.00 60.00 60.00°
Positions (direct):
Cr1 0.625 0.625 0.625
Cr2 0.126 0.625 0.625
Cr3 0.625 0.126 0.625
Cr4 0.625 0.625 0.126
Ag1 0.000 0.000 0.000
Ta1 0.250 0.250 0.250

[9]
First-principles (PBE) data for crystalline TaVCrAg2 at its relaxed geometry, as listed in the Alexandria database.

Results
Its crystal system is tetragonal. For the density of states at the Fermi level, the calculation gives 0.702 states/eV/atom. Its formation energy is 140.5 kJ per mole of atoms. The calculated volume is 92 Å³/cell. For the total energy, the calculation gives -29.0 eV for the cell shown.

Cell: 4.840 3.933 4.840 Å, 90.00 90.00 90.00°
Positions (direct):
V1 0.000 0.000 0.000
Ag1 0.500 0.000 0.000
Ag2 0.000 0.000 0.500
Ta1 0.500 0.500 0.500
Cr1 0.000 0.500 0.000

[10]
First-principles (PBE) data for crystalline ZrTa2CrAg at its relaxed geometry, as listed in the Alexandria database.

Results
Its crystal system is tetragonal. For the density of states at the Fermi level, the calculation gives 1.655 states/eV/atom. Its formation energy is 209.8 kJ per mole of atoms. The calculated volume is 119 Å³/cell. For the total energy, the calculation gives -33.9 eV for the cell shown.

Cell: 4.868 5.003 4.868 Å, 90.00 90.00 90.00°
Each line ends with the local moment (μB).
Positions (direct):
Cr1 0.500 0.500 0.500  -0.07
Ta1 0.500 0.000 0.000  0.11
Ta2 0.000 0.000 0.500  0.06
Ag1 0.000 0.000 0.000  0.01
Zr1 0.000 0.500 0.000  0.07

[11]
First-principles (PBE) data for crystalline Zr2TaCrAg at its relaxed geometry, as listed in the Alexandria database.

Results
Its crystal system is tetragonal. For the density of states at the Fermi level, the calculation gives 2.055 states/eV/atom. Its formation energy is 181.7 kJ per mole of atoms. The calculated volume is 125 Å³/cell. For the total energy, the calculation gives -32.0 eV for the cell shown.

Cell: 5.053 4.892 5.053 Å, 90.00 90.00 90.00°
Each line ends with the local moment (μB).
Positions (direct):
Cr1 0.500 0.500 0.500  -0.07
Ta1 0.000 0.500 0.000  0.14
Ag1 0.000 0.000 0.000  0.01
Zr1 0.000 0.000 0.500  0.06
Zr2 0.500 0.000 0.000  0.09

[12]
First-principles (PBE) data for crystalline Cr2TcAg at its relaxed geometry, as listed in the Alexandria database.

Results
Its crystal system is orthorhombic. For the density of states at the Fermi level, the calculation gives 0.766 states/eV/atom. Its formation energy is 46.6 kJ per mole of atoms. The calculated volume is 56 Å³/cell. For the total energy, the calculation gives -30.5 eV for the cell shown.

Cell: 5.100 5.100 5.100 Å, 146.73 129.43 61.88°
Each line ends with the local moment (μB).
Positions (direct):
Cr1 0.770 0.270 0.500  -0.05
Cr2 0.972 0.972 0.000  0.07
Tc1 0.521 0.521 0.000  0.00
Ag1 0.237 0.737 0.500  0.00

[13]
First-principles (PBE) data for crystalline CrTcAg at its relaxed geometry, as listed in the Alexandria database.

Results
As for the excess energy over the best structure of this formula in the dataset: 0.017 eV per atom. Its crystal system is trigonal. For the density of states at the Fermi level, the calculation gives 0.947 states/eV/atom. Its formation energy is 40.6 kJ per mole of atoms. The calculated volume is 46 Å³/cell. For the total energy, the calculation gives -21.6 eV for the cell shown.

Cell: 2.807 2.807 6.713 Å, 90.00 90.00 120.00°
Each line ends with the local moment (μB).
Positions (direct):
Tc1 0.333 0.667 0.632  -0.22
Cr1 0.667 0.333 0.360  1.36
Ag1 0.000 0.000 0.008  0.02

[14]
First-principles (PBE) data for crystalline Cr2TcAg at its relaxed geometry, as listed in the Alexandria database.

Results
Its crystal system is tetragonal. For the density of states at the Fermi level, the calculation gives 0.935 states/eV/atom. Its formation energy is 37.6 kJ per mole of atoms. The calculated volume is 61 Å³/cell. For the total energy, the calculation gives -30.9 eV for the cell shown.

Cell: 2.976 2.976 6.862 Å, 90.00 90.00 90.00°
Each line ends with the local moment (μB).
Positions (direct):
Ag1 0.500 0.500 0.750  0.08
Tc1 0.500 0.500 0.250  -0.79
Cr1 0.000 0.000 0.030  2.59
Cr2 0.000 0.000 0.470  2.59

[15]
First-principles (PBE) data for crystalline CrTc3Ag at its relaxed geometry, as listed in the Alexandria database.

Results
Its crystal system is cubic. For the density of states at the Fermi level, the calculation gives 1.239 states/eV/atom. Its formation energy is 121.5 kJ per mole of atoms. The calculated volume is 88 Å³/cell. For the total energy, the calculation gives -37.3 eV for the cell shown.

Cell: 4.445 4.445 4.445 Å, 90.00 90.00 90.00°
Each line ends with the local moment (μB).
Positions (direct):
Tc1 0.500 0.000 0.000  0.68
Tc2 0.000 0.500 0.000  0.62
Tc3 0.000 0.000 0.500  0.56
Cr1 0.000 0.000 0.000  -0.12
Ag1 0.500 0.500 0.500  0.06